TaVSe2 | PBE-GGA | relaxed

a = 3.2456 Å, b = 3.2456 Å, c = 8.4454 Å
α = 90.00°, β = 90.00°, γ = 120.00°
Space group P3m1 (No. 156)
Symmetry-distinct sites (fractional):
Ta 0.0000 0.0000 0.0000
V 0.6667 0.3333 0.4947
Se 0.0000 0.0000 0.3106
Se 0.6667 0.3333 0.7915

E above lowest polymorph: 0.0265 eV/atom
raw formation energy: -0.79 eV/f.u.
density of states at the Fermi level: 3.457 states/eV per cell